Computed, not measured: a PBEsol-optimized structure of CoNiRh2 at the meta-GGA SCAN level of DFT.

Unit cell a=8.4444 b=2.5987 c=4.5190 alpha=90.00 beta=100.12 gamma=90.00
Space group C2/m (No. 12)
One atom of each set of equivalent atoms:
Co (0.0000, 0.0000, 0.0000) x2
Ni (0.0000, 0.5000, 0.5000) x2
Rh (0.2485, 0.5000, 0.2493) x4

Calculated values
Energy relative to the lowest polymorph listed for this composition = 0.12 eV/f.u.
ΔH_f (0 K) = 0.04 eV/atom
Calculated density = 11.0 g/cm³

---

Computed, not measured: a PBEsol-optimized structure of TiMn3Te2P6O24 at the meta-GGA SCAN level of DFT.

Unit cell a=8.2159 b=8.2159 c=24.9850 alpha=90.00 beta=90.00 gamma=120.00
Space group R3 (No. 146, hexagonal axes)
One atom of each set of equivalent atoms:
Ti (0.0000, 0.0000, 0.0000) x3
Mn (0.0000, 0.0000, 0.0988) x3
Mn (0.0000, 0.0000, 0.1830) x3
Mn (0.0000, 0.0000, 0.2977) x3
Te (0.0000, 0.0000, 0.3999) x3
Te (0.0000, 0.0000, 0.8953) x3
P (0.0119, 0.7892, 0.7129) x9
P (0.0165, 0.7135, 0.5891) x9
O (0.0018, 0.1710, 0.7197) x9
O (0.0085, 0.8202, 0.2415) x9
O (0.0097, 0.1800, 0.1429) x9
O (0.0365, 0.6235, 0.0867) x9
O (0.0963, 0.5576, 0.2184) x9
O (0.1154, 0.6866, 0.3133) x9
O (0.1848, 0.4787, 0.0079) x9
O (0.1980, 0.7372, 0.7060) x9

Calculated values
ΔE_f (raw) = -1.6615 eV per atom
Calculated density = 3.5 g/cm³

---

Computed, not measured: a PBEsol-optimized structure of CuSbPt at the meta-GGA SCAN level of DFT.

Unit cell a=6.0558 b=6.0558 c=6.0558 alpha=90.00 beta=90.00 gamma=90.00
Space group F-43m (No. 216)
One atom of each set of equivalent atoms:
Cu (0.0000, 0.0000, 0.0000) x4
Sb (0.0000, 0.0000, 0.5000) x4
Pt (0.2500, 0.2500, 0.7500) x4

Calculated values
Energy relative to the lowest polymorph listed for this composition = 0.00 eV/f.u.
ΔE_f (raw) = -0.3252 eV per atom
Calculated density = 11.4 g/cm³

---

Computed, not measured: a PBEsol-optimized structure of CoNi2SnPd at the meta-GGA SCAN level of DFT.

Unit cell a=4.5126 b=4.5126 c=4.5694 alpha=90.00 beta=90.00 gamma=90.00
Space group P4/mmm (No. 123)
One atom of each set of equivalent atoms:
Co (0.0000, 0.0000, 0.0000) x1
Ni (0.0000, 0.5000, 0.5000) x2
Sn (0.0000, 0.0000, 0.5000) x1
Pd (0.5000, 0.5000, 0.0000) x1

Calculated values
ΔH_f (0 K) = 1.34 eV/atom
Calculated density = 7.2 g/cm³